# 1
Here is an optimized crystal structure of Nd7Cu2Ag2 from the Alexandria database. Energies are from GGA-PBE.

Cell lengths 6.876, 7.396, 6.876 Å; angles 90.00, 110.64, 90.00 degrees
Atoms (fractional coordinates):
Nd 0.000 0.268 0.500
Nd 0.500 0.732 0.000
Nd 0.000 0.732 0.500
Nd 0.500 0.268 0.000
Nd 0.000 0.000 0.000
Nd 0.500 0.751 0.500
Nd 0.500 0.249 0.500
Cu 0.707 0.000 0.293
Cu 0.293 0.000 0.707
Ag 0.826 0.500 0.826
Ag 0.174 0.500 0.174

Values from the calculation:
**Density**: 6863 kg/m3
**Raw total energy**: -4.241 eV/atom
**Spin magnetization**: 0.00 μB/cell
**SG**: No. 65
**Energy relative to the elements**: 56 meV per atom

# 2
Here is an optimized crystal structure of LiTa2Tl from the Alexandria database. Energies are from GGA-PBE.

Cell lengths 5.055, 5.055, 5.480 Å; angles 82.78, 82.78, 33.52 degrees
Atoms (fractional coordinates):
Li 0.247 0.247 0.270
Ta 0.011 0.011 0.969
Ta 0.746 0.746 0.792
Tl 0.495 0.495 0.469

Values from the calculation:
**Density**: 12416 kg/m3
**Raw total energy**: -6.565 eV/atom
**Spin magnetization**: 0.00 μB/cell
**SG**: No. 8
**Energy relative to the elements**: 432 meV per atom

# 3
Here is an optimized crystal structure of Ac4Tl2Ru from the Alexandria database. Energies are from GGA-PBE.

Cell lengths 6.804, 7.379, 11.008 Å; angles 90.00, 114.21, 90.00 degrees
Atoms (fractional coordinates):
Ac 0.476 0.501 0.252
Ac 0.107 0.750 0.899
Ac 0.893 0.250 0.101
Ac 0.476 0.999 0.252
Ac 0.899 0.250 0.591
Ac 0.524 0.001 0.748
Ac 0.524 0.499 0.748
Ac 0.101 0.750 0.409
Tl 0.687 0.750 0.050
Tl 0.313 0.250 0.950
Tl 0.269 0.250 0.445
Tl 0.731 0.750 0.555
Ru 0.139 0.750 0.164
Ru 0.861 0.250 0.836

Values from the calculation:
**Density**: 9341 kg/m3
**Raw total energy**: -4.565 eV/atom
**Distance to the lowest polymorph of the same formula**: 39 kJ/mol of formula units
**Spin magnetization**: 0.00 μB/cell
**SG**: No. 11
**Energy relative to the elements**: -216 meV per atom

# 4
Here is an optimized crystal structure of CaNdDy2 from the Alexandria database. Energies are from GGA-PBE.

Cell lengths 3.575, 3.575, 12.820 Å; angles 81.98, 81.98, 60.00 degrees
Atoms (fractional coordinates):
Ca 0.000 0.000 0.000
Nd 0.500 0.500 0.500
Dy 0.090 0.090 0.729
Dy 0.910 0.910 0.271

Values from the calculation:
**Density**: 6037 kg/m3
**Raw total energy**: -3.830 eV/atom
**Distance to the lowest polymorph of the same formula**: 39 kJ/mol of formula units
**Spin magnetization**: 0.00 μB/cell
**SG**: No. 166
**Energy relative to the elements**: 164 meV per atom

One value per record, in order, for D(E_F): 16.7, 3.0, 7.6, 6.3 states/eV/f.u..